Record 1
Here is a relaxed LiZnSb crystal from Alexandria via LeMat-Bulk. Energies are from PBE.

Lattice parameters (Å, degrees): 3.2487 3.2487 6.8436 90.00 90.00 120.00
With the nearest neighbours (Å) after each atom.
Space group P3m1 (No. 156)
Symmetry-distinct sites (fractional):
Li 0.0000 0.0000 0.0000 x1  3 Zn 2.75, 3 Sb 2.99
Zn 0.3333 0.6667 0.7057 x1  3 Li 2.75
Sb 0.6667 0.3333 0.3400 x1  3 Li 2.99, 3 Zn 3.13, 6 Sb 3.25

Results
calculated total energy: -7.50 eV/f.u.

Record 2
Here is a relaxed SmGe4Pt6 crystal from Alexandria via LeMat-Bulk. Energies are from PBE.

Lattice parameters (Å, degrees): 6.7942 6.7942 8.9827 90.00 90.00 90.00
With the nearest neighbours (Å) after each atom.
Space group I-42m (No. 121)
Symmetry-distinct sites (fractional):
Sm 0.0000 0.0000 0.0000 x2  4 Ge 3.16, 8 Pt 3.40-3.48
Ge 0.2063 0.2063 0.6582 x8  4 Pt 2.37-2.57
Pt 0.0000 0.5000 0.0000 x4  4 Pt 2.79, 4 Ge 2.82
Pt 0.1560 0.1560 0.3772 x8  4 Ge 2.37-2.57

Results
calculated total energy: -65.47 eV/f.u.
E_form: -0.5484 eV per atom

Record 3
Here is a relaxed CaErIrRh crystal from Alexandria via LeMat-Bulk. Energies are from PBE.

Lattice parameters (Å, degrees): 6.7916 6.7916 6.7916 90.00 90.00 90.00
With the nearest neighbours (Å) after each atom.
Space group F-43m (No. 216)
Symmetry-distinct sites (fractional):
Ca 0.0000 0.0000 0.0000 x4  4 Rh 2.94, 4 Ir 2.94
Er 0.0000 0.0000 0.5000 x4  4 Ir 2.94, 4 Rh 2.94
Ir 0.2500 0.2500 0.7500 x4  4 Er 2.94, 4 Ca 2.94
Rh 0.2500 0.2500 0.2500 x4  4 Er 2.94, 4 Ca 2.94

Results
calculated total energy: -25.12 eV/f.u.
E_form: -0.5851 eV per atom

Record 4
Here is a relaxed NdPuGe2 crystal from Alexandria via LeMat-Bulk. Energies are from PBE.

Lattice parameters (Å, degrees): 4.0110 4.4137 11.1058 90.00 90.00 90.00
With the nearest neighbours (Å) after each atom.
Space group Amm2 (No. 38)
Symmetry-distinct sites (fractional):
Nd 0.0000 0.0000 0.0000 x2  7 Ge 3.07-3.30
Pu 0.5000 0.0000 0.7157 x2  7 Ge 3.07-3.28
Ge 0.0000 0.0000 0.2795 x2  2 Ge 2.64
Ge 0.5000 0.0000 0.4342 x2  2 Ge 2.64

Results
calculated total energy: -30.76 eV/f.u.
E_form: -0.6057 eV per atom

Record 5
Here is a relaxed ErTl2InTe4 crystal from Alexandria via LeMat-Bulk. Energies are from PBE.

Lattice parameters (Å, degrees): 7.7441 4.3907 8.4797 90.00 108.03 90.00
With the nearest neighbours (Å) after each atom.
Space group P2/m (No. 10)
Symmetry-distinct sites (fractional):
Er 0.0000 0.0000 0.0000 x1  6 Te 3.07-3.10
Tl 0.0000 0.5000 0.5000 x1  6 Te 3.46-3.48
Tl 0.5000 0.0000 0.5000 x1  6 Te 3.44-3.49
In 0.5000 0.5000 0.0000 x1  6 Te 3.03-3.12
Te 0.2365 0.5000 0.2140 x2  2 Er 3.07, 1 In 3.12
Te 0.2671 0.0000 0.7927 x2  2 In 3.03, 1 Er 3.10

Results
calculated total energy: -29.80 eV/f.u.

Record 6
Here is a relaxed Sn2Pd8Pt crystal from Alexandria via LeMat-Bulk. Energies are from PBE.

Lattice parameters (Å, degrees): 4.1847 7.3771 11.9979 90.00 90.00 90.00
With the nearest neighbours (Å) after each atom.
Space group Immm (No. 71)
Symmetry-distinct sites (fractional):
Sn 0.0000 0.0000 0.1849 x4  10 Pd 2.72-2.86
Pd 0.0000 0.2128 0.0000 x4  2 Sn 2.72, 6 Pd 2.80-2.82, 2 Pt 2.98
Pd 0.0000 0.2690 0.3425 x8  3 Sn 2.72-2.74, 1 Pt 2.74, 5 Pd 2.82-2.88
Pd 0.0000 0.5000 0.1527 x4  2 Pt 2.78, 8 Pd 2.80-2.88, 2 Sn 2.86
Pt 0.0000 0.0000 0.5000 x2  12 Pd 2.74-2.98

Results
polymorph energy (0 for the lowest one): 0 meV per atom
calculated total energy: -59.23 eV/f.u.
E_form: -0.3309 eV per atom

Record 7
Here is a relaxed Li4TmSc3Te8 crystal from Alexandria via LeMat-Bulk. Energies are from PBE.

Lattice parameters (Å, degrees): 8.3950 8.3950 20.9667 90.00 90.00 120.00
With the nearest neighbours (Å) after each atom.
Space group R-3m (No. 166, hexagonal axes)
Symmetry-distinct sites (fractional):
Li 0.0000 0.0000 0.0000 x3  6 Te 2.95
Li 0.0000 0.5000 0.0000 x9  6 Te 3.02
Tm 0.0000 0.0000 0.5000 x3  6 Te 3.02
Sc 0.0000 0.5000 0.5000 x9  6 Te 2.96
Te 0.0000 0.0000 0.2474 x6  3 Sc 2.96, 3 Li 3.02
Te 0.0076 0.5038 0.7509 x18  3 Li 2.95-3.02, 2 Sc 2.96, 1 Tm 3.02

Results
calculated total energy: -75.42 eV/f.u.

Record 8
Here is a relaxed Ca2ZnTe crystal from Alexandria via LeMat-Bulk. Energies are from PBE.

Lattice parameters (Å, degrees): 7.6419 7.6419 7.6419 90.00 90.00 90.00
With the nearest neighbours (Å) after each atom.
Space group Fm-3m (No. 225)
Symmetry-distinct sites (fractional):
Ca 0.2500 0.2500 0.2500 x8  4 Te 3.31, 4 Zn 3.31
Zn 0.0000 0.0000 0.0000 x4  8 Ca 3.31
Te 0.0000 0.0000 0.5000 x4  8 Ca 3.31

Results
polymorph energy (0 for the lowest one): 182 meV per atom
calculated total energy: -10.81 eV/f.u.

Record 9
Here is a relaxed LiDy2Zn16 crystal from Alexandria via LeMat-Bulk. Energies are from PBE.

Lattice parameters (Å, degrees): 8.9729 8.9729 13.1455 90.00 90.00 120.00
With the nearest neighbours (Å) after each atom.
Space group R3m (No. 160, hexagonal axes)
Symmetry-distinct sites (fractional):
Li 0.0000 0.0000 0.0000 x3  13 Zn 2.63-2.92
Dy 0.0000 0.0000 0.4312 x3  13 Zn 3.04-3.39
Dy 0.0000 0.0000 0.7567 x3  18 Zn 3.17-3.47, 1 Li 3.20
Zn 0.0000 0.0000 0.2000 x3  1 Li 2.63, 6 Zn 2.74-2.86
Zn 0.0001 0.2955 0.0924 x18  8 Zn 2.57-2.76
Zn 0.0041 0.5021 0.5927 x9  9 Zn 2.57-2.74, 1 Li 2.74
Zn 0.0054 0.5027 0.2438 x9  8 Zn 2.55-2.76
Zn 0.1728 0.3455 0.2741 x9  9 Zn 2.55-2.86

Results
calculated total energy: -36.17 eV/f.u.
E_form: -0.2456 eV per atom

Record 10
Here is a relaxed Rb2B2S5 crystal from Alexandria via LeMat-Bulk. Energies are from PBE.

Lattice parameters (Å, degrees): 12.3737 4.6937 8.6266 90.00 93.06 90.00
With the nearest neighbours (Å) after each atom.
Space group C2/m (No. 12)
Symmetry-distinct sites (fractional):
Rb 0.1007 0.0000 0.3268 x4  3 S 3.22-3.44
B 0.1172 0.5000 0.8674 x4  3 S 1.75-1.89
S 0.0000 0.5000 0.0000 x2  2 B 1.89
S 0.1020 0.5000 0.6649 x4  1 B 1.75
S 0.2457 0.0000 0.0278 x4  1 B 1.88

Results
calculated total energy: -40.62 eV/f.u.

Record 11
Here is a relaxed BaAs crystal from Alexandria via LeMat-Bulk. Energies are from PBE.

Lattice parameters (Å, degrees): 9.4905 6.2862 6.8245 90.00 93.70 90.00
With the nearest neighbours (Å) after each atom.
Space group C2/m (No. 12)
Symmetry-distinct sites (fractional):
Ba 0.0000 0.0000 0.0000 x2  8 As 3.38-3.76
Ba 0.1700 0.5000 0.6222 x4  6 As 3.29-3.61, 1 Ba 3.54
As 0.0000 0.0000 0.5000 x2  8 Ba 3.29-3.61
As 0.1147 0.5000 0.0991 x4  1 As 2.49

Results
calculated total energy: -8.41 eV/f.u.
E_form: -0.9207 eV per atom

Record 12
Here is a relaxed AcPmDyEr crystal from Alexandria via LeMat-Bulk. Energies are from PBE.

Lattice parameters (Å, degrees): 8.2723 8.2723 8.2723 90.00 90.00 90.00
With the nearest neighbours (Å) after each atom.
Space group F-43m (No. 216)
Symmetry-distinct sites (fractional):
Ac 0.0000 0.0000 0.0000 x4  4 Dy 3.58, 4 Er 3.58
Pm 0.0000 0.0000 0.5000 x4  4 Dy 3.58, 4 Er 3.58
Dy 0.2500 0.2500 0.2500 x4  4 Pm 3.58, 4 Ac 3.58
Er 0.2500 0.2500 0.7500 x4  4 Ac 3.58, 4 Pm 3.58

Results
polymorph energy (0 for the lowest one): 53 meV per atom
calculated total energy: -17.56 eV/f.u.
E_form: 0.1156 eV per atom

Record 13
Here is a relaxed NdY2Zn2Sn2 crystal from Alexandria via LeMat-Bulk. Energies are from PBE.

Lattice parameters (Å, degrees): 4.6451 4.6451 28.7095 90.00 90.00 120.00
With the nearest neighbours (Å) after each atom.
Space group R-3m (No. 166, hexagonal axes)
Symmetry-distinct sites (fractional):
Nd 0.0000 0.0000 0.0000 x3  6 Sn 3.31, 6 Zn 3.63
Y 0.0000 0.0000 0.1311 x6  3 Zn 2.99, 3 Sn 3.24
Zn 0.0000 0.0000 0.4186 x6  3 Sn 2.73, 3 Y 2.99
Sn 0.0000 0.0000 0.2655 x6  3 Zn 2.73

Results
calculated total energy: -30.81 eV/f.u.
E_form: -0.3658 eV per atom

Record 14
Here is a relaxed ErCdHgBi crystal from Alexandria via LeMat-Bulk. Energies are from PBE.

Lattice parameters (Å, degrees): 7.5307 7.5307 7.5307 90.00 90.00 90.00
With the nearest neighbours (Å) after each atom.
Space group F-43m (No. 216)
Symmetry-distinct sites (fractional):
Er 0.0000 0.0000 0.0000 x4  4 Hg 3.26, 4 Bi 3.26
Cd 0.0000 0.0000 0.5000 x4  4 Hg 3.26, 4 Bi 3.26
Hg 0.2500 0.2500 0.2500 x4  4 Cd 3.26, 4 Er 3.26
Bi 0.2500 0.2500 0.7500 x4  4 Cd 3.26, 4 Er 3.26

Results
calculated total energy: -10.52 eV/f.u.
E_form: -0.2149 eV per atom

Record 15
Here is a relaxed BiBr2O crystal from Alexandria via LeMat-Bulk. Energies are from PBE.

Lattice parameters (Å, degrees): 7.0541 7.0541 7.0541 90.00 90.00 90.00
With the nearest neighbours (Å) after each atom.
Space group Fm-3m (No. 225)
Symmetry-distinct sites (fractional):
Bi 0.0000 0.0000 0.0000 x4  8 Br 3.05
Br 0.2500 0.2500 0.2500 x8  4 O 3.05, 4 Bi 3.05
O 0.0000 0.0000 0.5000 x4  8 Br 3.05

Results
polymorph energy (0 for the lowest one): 0 meV per atom
calculated total energy: -11.48 eV/f.u.

Record 16
Here is a relaxed TaSe2Br crystal from Alexandria via LeMat-Bulk. Energies are from PBE.

Lattice parameters (Å, degrees): 6.3818 3.5358 6.7271 90.00 114.16 90.00
With the nearest neighbours (Å) after each atom.
Space group Pm (No. 6)
Symmetry-distinct sites (fractional):
Ta 0.0000 0.0000 0.0000 x1  3 Se 2.29-2.50
Se 0.3474 0.0000 0.2957 x1  1 Ta 2.29
Se 0.7605 0.5000 0.0687 x1  2 Ta 2.50
Br 0.0612 0.5000 0.7294 x1  2 Ta 2.68

Results
polymorph energy (0 for the lowest one): 82 meV per atom
calculated total energy: -22.92 eV/f.u.

Record 17
Here is a relaxed URe3B crystal from Alexandria via LeMat-Bulk. Energies are from PBE.

Lattice parameters (Å, degrees): 4.2302 4.2302 4.2302 90.00 90.00 90.00
With the nearest neighbours (Å) after each atom.
Space group Pm-3m (No. 221)
Symmetry-distinct sites (fractional):
U 0.0000 0.0000 0.0000 x1  12 Re 2.99
Re 0.0000 0.5000 0.5000 x3  2 B 2.12
B 0.5000 0.5000 0.5000 x1  6 Re 2.12

Results
calculated total energy: -55.86 eV/f.u.
E_form: -0.1100 eV per atom

Record 18
Here is a relaxed Pu2UGe2 crystal from Alexandria via LeMat-Bulk. Energies are from PBE.

Lattice parameters (Å, degrees): 12.4097 3.7426 9.5077 90.00 109.10 90.00
With the nearest neighbours (Å) after each atom.
Space group C2/m (No. 12)
Symmetry-distinct sites (fractional):
Pu 0.1166 0.0000 0.1154 x4  1 Pu 2.44, 2 U 2.48
Pu 0.1170 0.0000 0.3721 x4  1 Pu 2.44
U 0.2457 0.0000 0.8453 x4  2 Pu 2.48
Ge 0.0570 0.5000 0.8609 x4  1 Ge 2.66, 4 Pu 2.92-2.95
Ge 0.1041 0.5000 0.6074 x4  2 Ge 2.66-2.72, 2 Pu 2.96

Results
calculated total energy: -50.67 eV/f.u.
E_form: -0.2968 eV per atom

Record 19
Here is a relaxed YHoScHg crystal from Alexandria via LeMat-Bulk. Energies are from PBE.

Lattice parameters (Å, degrees): 7.5043 7.5043 7.5043 90.00 90.00 90.00
With the nearest neighbours (Å) after each atom.
Space group F-43m (No. 216)
Symmetry-distinct sites (fractional):
Y 0.0000 0.0000 0.0000 x4  4 Hg 3.25, 4 Sc 3.25
Ho 0.0000 0.0000 0.5000 x4  4 Sc 3.25, 4 Hg 3.25
Sc 0.2500 0.2500 0.7500 x4  4 Y 3.25, 4 Ho 3.25
Hg 0.2500 0.2500 0.2500 x4  4 Ho 3.25, 4 Y 3.25

Results
calculated total energy: -18.01 eV/f.u.
E_form: -0.0827 eV per atom

Record 20
Here is a relaxed Dy3HoHg2 crystal from Alexandria via LeMat-Bulk. Energies are from PBE.

Lattice parameters (Å, degrees): 5.1135 9.2279 7.0294 90.00 90.00 90.00
With the nearest neighbours (Å) after each atom.
Space group Pmc2_1 (No. 26)
Symmetry-distinct sites (fractional):
Dy 0.0000 0.0545 0.0000 x2  3 Hg 3.14-3.23, 1 Dy 3.48
Dy 0.0000 0.3261 0.3439 x2  4 Hg 3.02-3.10
Dy 0.5000 0.1750 0.6863 x2  4 Hg 3.03-3.09
Ho 0.5000 0.4454 0.0305 x2  3 Hg 3.14-3.23, 1 Dy 3.48
Hg 0.0000 0.3502 0.7790 x2  5 Dy 3.02-3.14, 2 Ho 3.23
Hg 0.5000 0.1500 0.2514 x2  6 Dy 3.03-3.23, 1 Ho 3.14

Results
polymorph energy (0 for the lowest one): 0 meV per atom
calculated total energy: -21.15 eV/f.u.
E_form: -0.3612 eV per atom